NiSO5: optimized geometry, PBE+U.

Computed properties:
M_tot: 4.0 μB/f.u.
electronic total energy: -5.29 eV per atom
ρ: 3246 kg/m³

a b c (Å): 6.699 7.960 7.316
angles (deg): 90.00 116.42 90.00
Space group C2/c (No. 15)
Asymmetric unit:
Ni (0.000, 0.000, 0.000) x4
S (0.000, 0.336, 0.250) x4
O (0.000, 0.077, 0.750) x4
O (0.108, 0.229, 0.152) x8
O (0.170, 0.445, 0.406) x8